DFT (PBE-GGA) results for an optimized crystal structure of Ac8Ni2Ir.

```
data_Ac8Ni2Ir
_space_group_name_H-M_alt 'C 1 2/m 1'
_space_group_IT_number 12
_cell_length_a 15.0506
_cell_length_b 7.9789
_cell_length_c 6.9997
_cell_angle_alpha 90.00
_cell_angle_beta 103.15
_cell_angle_gamma 90.00
loop_
_space_group_symop_operation_xyz
'x,y,z'
'-x,-y,-z'
'-x,y,-z'
'x,-y,z'
'x+1/2,y+1/2,z'
'-x+1/2,-y+1/2,-z'
'-x+1/2,y+1/2,-z'
'x+1/2,-y+1/2,z'
loop_
_atom_site_label
_atom_site_fract_x
_atom_site_fract_y
_atom_site_fract_z
Ac1 0.0939 0.0000 0.3458
Ac2 0.1237 0.2528 0.8664
Ac3 0.1485 0.5000 0.3719
Ni1 0.2397 0.0000 0.1701
Ir1 0.0000 0.5000 0.0000
```

Output
Energy (eV/atom): -4.994
Excess energy over the best structure of this formula in the dataset (eV per atom): 0.088